(1)
The following is a DFT calculation (PBE) of a geometry-optimized La2SmGe4Ir2Pd2 structure.

Properties
SG: No. 71
VASP energy in eV/atom: -6.46

Cell and atoms, written as POSCAR:
```
La2SmGe4Ir2Pd2
1.0
6.9159 9.5254 5.8150
1.9135 12.3222 4.1083
-5.5767 -11.6600 -2.3069
Ge Ir La Pd Sm
4 2 2 2 1
Direct
0.4515 0.4515 0.0000
0.5485 0.5485 0.0000
0.8031 0.3031 0.5000
0.1969 0.6969 0.5000
0.2504 0.2504 0.0000
0.7496 0.7496 0.0000
0.6478 0.1478 0.5000
0.3522 0.8522 0.5000
0.9022 0.4022 0.5000
0.0978 0.5978 0.5000
0.0000 0.0000 0.0000
```

(2)
The following is a DFT calculation (PBE) of a geometry-optimized LaPrGe4Ir2 structure.

Properties
SG: No. 38
VASP energy in eV/atom: -6.54

Cell and atoms, written as POSCAR:
```
LaPrGe4Ir2
1.0
-4.0501 1.7921 -0.0369
-0.9009 -1.8574 8.6689
0.8746 2.1538 8.6028
Ge Ir La Pr
4 2 1 1
Direct
0.0000 0.2511 0.2511
0.5000 0.4603 0.4603
0.0000 0.5390 0.5390
0.5000 0.7497 0.7497
0.5000 0.3206 0.3206
0.0000 0.6796 0.6796
0.5000 0.1087 0.1087
0.0000 0.8911 0.8911
```